FeOsPt4, optimized geometry, DFT PBE; SG = No. 216; total energy = -40.52 eV for the cell shown; total magnetization = 1.48 μB per cell
1.0
0.0000 3.6653 3.6653
3.6653 0.0000 3.6653
3.6653 3.6653 0.0000
Fe Os Pt
1 1 4
Cartesian
0.0000 0.0000 0.0000
1.8326 1.8326 1.8326
4.5812 2.7493 2.7493
2.7493 4.5812 2.7493
2.7493 2.7493 4.5812
4.5812 4.5812 4.5812

=====

Sm3Y3In, optimized geometry, DFT PBE; SG = No. 176; total energy = -74.13 eV for the cell shown; total magnetization = 0.41 μB per cell
1.0
9.4871 0.0000 0.0000
-4.7436 8.2161 0.0000
0.0000 0.0000 5.6278
Sm Y In
6 6 2
Cartesian
-1.2686 3.9473 1.4070
-0.6908 7.3411 1.4070
2.7841 3.0723 4.2209
1.9594 5.1438 1.4070
5.4344 0.8750 4.2209
6.0122 4.2688 4.2209
-0.5458 1.9885 4.2209
-2.7486 7.6945 4.2209
1.4492 1.4669 1.4070
3.2944 6.7492 4.2209
7.4922 0.5216 1.4070
5.2893 6.2276 1.4070
0.0000 5.4774 4.2209
4.7436 2.7387 1.4070

=====

CaSmP2Rh5, optimized geometry, DFT PBE; SG = No. 123; total energy = -62.16 eV for the cell shown; total magnetization = 0.00 μB per cell
1.0
4.1154 0.0000 0.0000
0.0000 4.1154 0.0000
0.0000 0.0000 8.8838
Ca Sm P Rh
1 1 2 5
Cartesian
0.0000 0.0000 0.0000
0.0000 0.0000 4.4419
2.0577 2.0577 1.2714
2.0577 2.0577 7.6125
0.0000 2.0577 2.2832
0.0000 2.0577 6.6006
2.0577 0.0000 2.2832
2.0577 0.0000 6.6006
2.0577 2.0577 4.4419

=====

Number 1: energy of formation from the pure elements 0.56 eV/atom. Number 2: energy of formation from the pure elements -0.11 eV/atom. Number 3: energy of formation from the pure elements -0.87 eV/atom.